Record 1
YbAsPt, relaxed, DFT PBE; energy of formation from the pure elements = -1092.1 meV per atom; M_tot = 0.0 μB per formula unit; final energy = -61.97 eV for the cell shown; SG = P6_3/mmc (194)
1.0
4.271 0.000 0.000
-2.136 3.699 0.000
0.000 0.000 15.962
Yb As Pt
4 4 4
Direct
0.000 0.000 0.000 Yb
0.000 0.000 0.250 Yb
0.000 0.000 0.500 Yb
0.000 0.000 0.750 Yb
0.333 0.667 0.129 As
0.333 0.667 0.371 As
0.667 0.333 0.629 As
0.667 0.333 0.871 As
0.333 0.667 0.623 Pt
0.333 0.667 0.877 Pt
0.667 0.333 0.123 Pt
0.667 0.333 0.377 Pt

=====

Record 2
Tb6Pr12Th, relaxed, DFT PBE; energy of formation from the pure elements = 126.6 meV per atom; M_tot = 0.0 μB per formula unit; final energy = -90.15 eV for the cell shown; SG = R-3m (166)
1.0
6.728 3.884 4.332
-6.728 3.884 4.332
0.000 -7.768 4.332
Tb Pr Th
6 12 1
Direct
0.098 0.360 0.360 Tb
0.360 0.098 0.360 Tb
0.360 0.360 0.098 Tb
0.640 0.640 0.902 Tb
0.640 0.902 0.640 Tb
0.902 0.640 0.640 Tb
0.084 0.084 0.671 Pr
0.084 0.671 0.084 Pr
0.238 0.500 0.762 Pr
0.238 0.762 0.500 Pr
0.329 0.916 0.916 Pr
0.500 0.238 0.762 Pr
0.500 0.762 0.238 Pr
0.671 0.084 0.084 Pr
0.762 0.238 0.500 Pr
0.762 0.500 0.238 Pr
0.916 0.329 0.916 Pr
0.916 0.916 0.329 Pr
0.500 0.500 0.500 Th

=====

Record 3
Tb2Zn3Cu5, relaxed, DFT PBE; energy of formation from the pure elements = -206.8 meV per atom; M_tot = 0.0 μB per formula unit; final energy = -71.26 eV for the cell shown; SG = Ibam (72)
1.0
-5.034 6.199 2.698
5.034 -6.199 2.698
5.034 6.199 -2.698
Tb Zn Cu
4 6 10
Direct
0.138 0.225 0.363 Tb
0.362 0.725 0.088 Tb
0.638 0.275 0.912 Tb
0.862 0.775 0.637 Tb
0.149 0.909 0.058 Zn
0.250 0.750 0.500 Zn
0.351 0.409 0.760 Zn
0.649 0.591 0.240 Zn
0.750 0.250 0.500 Zn
0.851 0.091 0.942 Zn
0.048 0.750 0.298 Cu
0.102 0.672 0.774 Cu
0.250 0.250 0.000 Cu
0.398 0.172 0.571 Cu
0.452 0.750 0.702 Cu
0.548 0.250 0.298 Cu
0.602 0.828 0.429 Cu
0.750 0.750 0.000 Cu
0.898 0.328 0.226 Cu
0.952 0.250 0.702 Cu

=====

Record 4
YHgIr2, relaxed, DFT PBE; energy of formation from the pure elements = 171.4 meV per atom; M_tot = 0.0 μB per formula unit; final energy = -47.60 eV for the cell shown; SG = I-42d (122)
1.0
-2.119 2.119 9.525
2.119 -2.119 9.525
2.119 2.119 -9.525
Y Hg Ir
2 2 4
Direct
0.000 0.000 0.000 Y
0.750 0.250 0.500 Y
0.250 0.750 0.500 Hg
0.500 0.500 0.000 Hg
0.201 0.625 0.076 Ir
0.375 0.451 0.576 Ir
0.549 0.125 0.924 Ir
0.875 0.799 0.424 Ir